1.
Density functional theory data (PBE) for La2DyCu3Ge4 after structural relaxation.

Structure (extended XYZ):
```
10
Lattice="4.367 0.000 0.000 0.000 4.367 0.000 0.000 0.000 10.857" Properties=species:S:1:pos:R:3 pbc="T T T"
La 0.000 2.184 2.445
La 2.184 0.000 8.412
Dy 0.000 0.000 5.429
Cu 0.000 2.184 9.626
Cu 2.184 0.000 1.231
Cu 2.184 2.184 5.429
Ge 0.000 0.000 0.000
Ge 0.000 2.184 7.181
Ge 2.184 0.000 3.676
Ge 2.184 2.184 0.000
```

The calculation puts the formation energy at -5.7 eV per formula unit. The value obtained for the total magnetic moment is 0.00 μB/f.u.

2.
Density functional theory data (PBE) for NaLa3Tb2Se6 after structural relaxation.

Structure (extended XYZ):
```
12
Lattice="3.655 -6.338 0.000 3.655 6.338 0.000 -2.442 0.000 6.898" Properties=species:S:1:pos:R:3 pbc="T T T"
Na 0.000 0.000 0.000
La 2.434 4.262 3.449
La 2.434 0.000 3.449
La 2.434 -4.262 3.449
Tb 3.655 2.107 0.000
Tb 3.655 -2.107 0.000
Se 1.224 2.128 1.631
Se 0.003 0.000 5.301
Se 1.224 -2.128 1.631
Se 3.643 2.128 5.267
Se 4.865 0.000 1.597
Se 3.643 -2.128 5.267
```

The value obtained for the total magnetic moment is 0.00 μB/f.u. Its final energy is -5.701 eV/atom.

3.
Density functional theory data (PBE) for LaScOs2 after structural relaxation.

Structure (extended XYZ):
```
4
Lattice="3.376 0.000 0.000 0.000 3.376 0.000 0.000 0.000 6.839" Properties=species:S:1:pos:R:3 pbc="T T T"
La 0.000 0.000 0.000
Sc 0.000 0.000 3.420
Os 1.688 1.688 1.890
Os 1.688 1.688 4.949
```

The calculation puts the formation energy at 0.2 eV per formula unit. The value obtained for the total magnetic moment is 0.00 μB/f.u. For the excess energy over the best structure of this formula in the dataset, the calculation gives 0.008 eV/atom.

4.
Density functional theory data (PBE) for PrSmCo4 after structural relaxation.

Structure (extended XYZ):
```
6
Lattice="0.000 3.657 3.657 3.657 0.000 3.657 3.657 3.657 0.000" Properties=species:S:1:pos:R:3 pbc="T T T"
Pr 0.000 0.000 0.000
Sm 1.828 1.828 1.828
Co 4.568 2.745 2.745
Co 2.745 4.568 2.745
Co 2.745 2.745 4.568
Co 4.568 4.568 4.568
```

The calculation puts the formation energy at -0.2 eV per formula unit. The value obtained for the total magnetic moment is 3.80 μB/f.u. For the excess energy over the best structure of this formula in the dataset, the calculation gives 0.042 eV/atom.